A geometry-optimized PmFeC2O8 structure, computed with GGA+U.

Cell lengths 4.8018, 4.8018, 6.8053 Å; angles 90.00, 90.00, 120.00 degrees
Last column: nearest neighbours and their distance in Å.
Space group P-3m1 (No. 164)
Asymmetric unit:
Pm: 0.0000 0.0000 0.0000 (multiplicity 1)  12 O 2.51-2.78
Fe: 0.0000 0.0000 0.5000 (multiplicity 1)  6 O 2.00
C: 0.3333 0.6667 0.2383 (multiplicity 2)  4 O 1.38-1.40
O: 0.1753 0.3507 0.2994 (multiplicity 6)  1 C 1.38
O: 0.3333 0.6667 0.0328 (multiplicity 2)  1 C 1.40

Volume ... 135.9 Å³ per cell
Size of the total moment ... 5.19 μB per cell
Energy ... -7.156 eV/atom